Record 1
Here is an optimized crystal structure of PbSeN2O from Alexandria via LeMat-Bulk. Energies are from PBE.

Values from the calculation:
Electronic total energy ... -4.8906 eV per atom
Symmetry ... No. 123
Formation energy without anion corrections ... 83.9 kJ/mol of atoms

Unit cell a=3.958 b=3.958 c=4.113 alpha=90.00 beta=90.00 gamma=90.00
Sites, in units of the cell vectors:
Pb 0.000 0.000 0.000
Se 0.500 0.500 0.500
N 0.000 0.500 0.500
N 0.500 0.000 0.500
O 0.500 0.500 0.000

Record 2
Here is an optimized crystal structure of TbSm2YSc from Alexandria via LeMat-Bulk. Energies are from PBE.

Values from the calculation:
Electronic total energy ... -5.1503 eV per atom
Symmetry ... No. 51
Formation enthalpy at 0 K ... 0.223 eV/atom

Unit cell a=6.212 b=7.811 c=6.519 alpha=90.00 beta=90.00 gamma=90.00
Sites, in units of the cell vectors:
Tb 0.250 0.000 0.095
Tb 0.750 0.000 0.905
Sm 0.250 0.293 0.781
Sm 0.250 0.707 0.781
Sm 0.750 0.293 0.219
Sm 0.750 0.707 0.219
Y 0.250 0.500 0.303
Y 0.750 0.500 0.697
Sc 0.000 0.000 0.500
Sc 0.500 0.000 0.500

Record 3
Here is an optimized crystal structure of AsC2 from Alexandria via LeMat-Bulk. Energies are from PBE.

Values from the calculation:
Electronic total energy ... -5.7728 eV per atom
Symmetry ... No. 141
Formation enthalpy at 0 K ... 1.926 eV/atom
E above lowest polymorph ... 1575 meV/atom

Unit cell a=4.633 b=4.633 c=4.633 alpha=128.53 beta=128.53 gamma=75.76
Sites, in units of the cell vectors:
As 0.375 0.625 0.750
As 0.625 0.375 0.250
C 0.026 0.776 0.250
C 0.224 0.974 0.250
C 0.776 0.026 0.750
C 0.974 0.224 0.750